Material: As2OsS
Method: DFT, PBE-GGA
State: relaxed

The space group is I-42d (No. 122) and the conventional cell measures 5.9720, 5.9720 and 10.1744 Å, with angles of 90.00, 90.00 and 90.00 degrees. The asymmetric unit holds As at (0.2172, 0.2500, 0.1250), Os at (0.0000, 0.0000, 0.0000) and S at (0.0000, 0.0000, 0.5000).

As for the uncorrected formation energy: 0.41 eV per atom. The volume is 22.68 Å³ per atom.